# 1
{"formula": "Hf2FeTc", "functional": "PBEsol", "state": "optimized geometry", "total_magnetization_mub_per_cell": 0.6, "dft_energy_ev_per_cell": -171.4, "volume_a3_per_atom": 15.77, "ef_ev_per_atom": -0.40, "lattice": [[6.319, 0.000, 0.000], [0.000, 6.319, 0.000], [0.000, 0.000, 6.319]], "species": ["Hf", "Hf", "Hf", "Hf", "Hf", "Hf", "Hf", "Hf", "Fe", "Fe", "Fe", "Fe", "Tc", "Tc", "Tc", "Tc"], "fractional_positions": [[0.250, 0.250, 0.250], [0.250, 0.250, 0.750], [0.250, 0.750, 0.250], [0.250, 0.750, 0.750], [0.750, 0.250, 0.250], [0.750, 0.250, 0.750], [0.750, 0.750, 0.250], [0.750, 0.750, 0.750], [0.000, 0.000, 0.000], [0.000, 0.500, 0.500], [0.500, 0.000, 0.500], [0.500, 0.500, 0.000], [0.000, 0.000, 0.500], [0.000, 0.500, 0.000], [0.500, 0.000, 0.000], [0.500, 0.500, 0.500]]}


# 2
{"formula": "YAlSi", "functional": "PBEsol", "state": "optimized geometry", "e_form_raw_mev_per_atom": -245, "total_magnetization_mub_per_cell": 0.0, "dft_energy_ev_per_cell": -69.6, "volume_a3_per_atom": 20.85, "lattice": [[6.302, 0.000, 0.000], [0.000, 6.302, 0.000], [0.000, 0.000, 6.302]], "species": ["Y", "Y", "Y", "Y", "Al", "Al", "Al", "Al", "Si", "Si", "Si", "Si"], "fractional_positions": [[0.000, 0.000, 0.000], [0.000, 0.500, 0.500], [0.500, 0.000, 0.500], [0.500, 0.500, 0.000], [0.000, 0.000, 0.500], [0.000, 0.500, 0.000], [0.500, 0.000, 0.000], [0.500, 0.500, 0.500], [0.250, 0.250, 0.250], [0.250, 0.750, 0.750], [0.750, 0.250, 0.750], [0.750, 0.750, 0.250]]}


# 3
{"formula": "P2SNCl", "functional": "PBEsol", "state": "optimized geometry", "de_polymorph_mev_per_atom": 681, "e_form_raw_mev_per_atom": 1809, "total_magnetization_mub_per_cell": 1.2, "dft_energy_ev_per_cell": -17.5, "volume_a3_per_atom": 19.88, "lattice": [[4.533, 0.000, 0.000], [0.000, 4.533, 0.000], [0.000, 0.000, 4.837]], "species": ["P", "P", "S", "N", "Cl"], "fractional_positions": [[0.000, 0.500, 0.000], [0.500, 0.000, 0.000], [0.000, 0.000, 0.000], [0.500, 0.500, 0.500], [0.000, 0.000, 0.500]]}


# 4
{"formula": "AgSb2TeOs", "functional": "PBEsol", "state": "optimized geometry", "de_polymorph_mev_per_atom": 925, "e_form_raw_mev_per_atom": 1723, "total_magnetization_mub_per_cell": 1.2, "dft_energy_ev_per_cell": -19.6, "volume_a3_per_atom": 26.68, "lattice": [[5.084, 0.000, 0.000], [0.000, 5.084, 0.000], [0.000, 0.000, 5.161]], "species": ["Ag", "Sb", "Sb", "Te", "Os"], "fractional_positions": [[0.000, 0.000, 0.000], [0.000, 0.500, 0.000], [0.500, 0.000, 0.000], [0.000, 0.000, 0.500], [0.500, 0.500, 0.500]]}


# 5
{"formula": "Hf2H2Ru", "functional": "PBEsol", "state": "optimized geometry", "total_magnetization_mub_per_cell": 0.0, "dft_energy_ev_per_cell": -81.9, "volume_a3_per_atom": 11.75, "lattice": [[3.138, 0.000, 0.000], [0.000, 3.138, 0.000], [0.000, 0.000, 11.932]], "species": ["Hf", "Hf", "Hf", "Hf", "H", "H", "H", "H", "Ru", "Ru"], "fractional_positions": [[0.000, 0.000, 0.137], [0.000, 0.000, 0.863], [0.500, 0.500, 0.363], [0.500, 0.500, 0.637], [0.000, 0.500, 0.250], [0.000, 0.500, 0.750], [0.500, 0.000, 0.250], [0.500, 0.000, 0.750], [0.000, 0.000, 0.500], [0.500, 0.500, 0.000]]}


# 6
{"formula": "LaAs2H", "functional": "PBEsol", "state": "optimized geometry", "total_magnetization_mub_per_cell": 1.8, "dft_energy_ev_per_cell": -73.5, "volume_a3_per_atom": 20.31, "lattice": [[6.875, 0.000, 0.000], [0.000, 6.875, 0.000], [0.000, 0.000, 6.875]], "species": ["La", "La", "La", "La", "As", "As", "As", "As", "As", "As", "As", "As", "H", "H", "H", "H"], "fractional_positions": [[0.000, 0.000, 0.000], [0.000, 0.500, 0.500], [0.500, 0.000, 0.500], [0.500, 0.500, 0.000], [0.250, 0.250, 0.250], [0.250, 0.250, 0.750], [0.250, 0.750, 0.250], [0.250, 0.750, 0.750], [0.750, 0.250, 0.250], [0.750, 0.250, 0.750], [0.750, 0.750, 0.250], [0.750, 0.750, 0.750], [0.000, 0.000, 0.500], [0.000, 0.500, 0.000], [0.500, 0.000, 0.000], [0.500, 0.500, 0.500]]}


# 7
{"formula": "FeReP2Os", "functional": "PBEsol", "state": "optimized geometry", "total_magnetization_mub_per_cell": 1.5, "dft_energy_ev_per_cell": -37.7, "volume_a3_per_atom": 17.58, "ef_ev_per_atom": 1.67, "lattice": [[4.426, 0.000, 0.000], [0.000, 4.426, 0.000], [0.000, 0.000, 4.487]], "species": ["Fe", "Re", "P", "P", "Os"], "fractional_positions": [[0.000, 0.000, 0.000], [0.000, 0.000, 0.500], [0.000, 0.500, 0.500], [0.500, 0.000, 0.500], [0.500, 0.500, 0.000]]}


# 8
{"formula": "SbTe", "functional": "PBEsol", "state": "optimized geometry", "de_polymorph_mev_per_atom": 220, "e_form_raw_mev_per_atom": 120, "total_magnetization_mub_per_cell": 0.0, "dft_energy_ev_per_cell": -7.8, "volume_a3_per_atom": 26.56, "lattice": [[3.759, 0.000, 0.000], [0.000, 3.759, 0.000], [0.000, 0.000, 3.759]], "species": ["Sb", "Te"], "fractional_positions": [[0.000, 0.000, 0.000], [0.500, 0.500, 0.500]]}


# 9
{"formula": "Ag2PtW", "functional": "PBEsol", "state": "optimized geometry", "de_polymorph_mev_per_atom": 0, "total_magnetization_mub_per_cell": 0.0, "dft_energy_ev_per_cell": -27.0, "volume_a3_per_atom": 15.79, "ef_ev_per_atom": 0.09, "lattice": [[2.778, 0.000, 0.000], [0.000, 2.778, 0.000], [0.000, 0.000, 8.181]], "species": ["Ag", "Ag", "Pt", "W"], "fractional_positions": [[0.000, 0.000, 0.000], [0.500, 0.500, 0.257], [0.000, 0.000, 0.517], [0.500, 0.500, 0.742]]}


# 10
{"formula": "TcPb2Se", "functional": "PBEsol", "state": "optimized geometry", "de_polymorph_mev_per_atom": 0, "e_form_raw_mev_per_atom": 482, "total_magnetization_mub_per_cell": 0.0, "dft_energy_ev_per_cell": -63.6, "volume_a3_per_atom": 22.01, "lattice": [[3.583, 0.000, 0.000], [-1.791, 3.103, 0.000], [0.000, 0.000, 23.758]], "species": ["Tc", "Tc", "Tc", "Pb", "Pb", "Pb", "Pb", "Pb", "Pb", "Se", "Se", "Se"], "fractional_positions": [[0.000, 0.000, 0.000], [0.333, 0.667, 0.667], [0.667, 0.333, 0.333], [0.000, 0.000, 0.254], [0.000, 0.000, 0.746], [0.333, 0.667, 0.412], [0.333, 0.667, 0.921], [0.667, 0.333, 0.079], [0.667, 0.333, 0.588], [0.000, 0.000, 0.500], [0.333, 0.667, 0.167], [0.667, 0.333, 0.833]]}


# 11
{"formula": "YTcTe3", "functional": "PBEsol", "state": "optimized geometry", "e_form_raw_mev_per_atom": 815, "total_magnetization_mub_per_cell": 4.6, "dft_energy_ev_per_cell": -24.6, "volume_a3_per_atom": 36.92, "lattice": [[5.694, 0.000, 0.000], [0.000, 5.694, 0.000], [0.000, 0.000, 5.694]], "species": ["Y", "Tc", "Te", "Te", "Te"], "fractional_positions": [[0.000, 0.000, 0.000], [0.500, 0.500, 0.500], [0.000, 0.000, 0.500], [0.000, 0.500, 0.000], [0.500, 0.000, 0.000]]}


# 12
{"formula": "Ca20Cd3Ga9", "functional": "PBEsol", "state": "optimized geometry", "total_magnetization_mub_per_cell": 0.0, "dft_energy_ev_per_cell": -88.0, "volume_a3_per_atom": 28.88, "ef_ev_per_atom": -0.37, "lattice": [[7.926, 0.000, 0.000], [0.000, 7.926, 0.000], [0.000, 0.000, 14.710]], "species": ["Ca", "Ca", "Ca", "Ca", "Ca", "Ca", "Ca", "Ca", "Ca", "Ca", "Ca", "Ca", "Ca", "Ca", "Ca", "Ca", "Ca", "Ca", "Ca", "Ca", "Cd", "Cd", "Cd", "Ga", "Ga", "Ga", "Ga", "Ga", "Ga", "Ga", "Ga", "Ga"], "fractional_positions": [[0.000, 0.000, 0.244], [0.000, 0.000, 0.756], [0.173, 0.327, 0.610], [0.173, 0.673, 0.390], [0.181, 0.334, 0.894], [0.181, 0.666, 0.106], [0.327, 0.173, 0.390], [0.327, 0.827, 0.610], [0.334, 0.181, 0.106], [0.334, 0.819, 0.894], [0.500, 0.500, 0.248], [0.500, 0.500, 0.752], [0.666, 0.181, 0.894], [0.666, 0.819, 0.106], [0.673, 0.173, 0.610], [0.673, 0.827, 0.390], [0.819, 0.334, 0.106], [0.819, 0.666, 0.894], [0.827, 0.327, 0.390], [0.827, 0.673, 0.610], [0.000, 0.000, 0.000], [0.000, 0.000, 0.500], [0.500, 0.500, 0.500], [0.113, 0.386, 0.248], [0.113, 0.614, 0.752], [0.386, 0.113, 0.752], [0.386, 0.887, 0.248], [0.500, 0.500, 0.000], [0.614, 0.113, 0.248], [0.614, 0.887, 0.752], [0.887, 0.386, 0.752], [0.887, 0.614, 0.248]]}